(A)
Density functional theory data (GGA-PBE) for a relaxed U3Pa crystal.

The structure belongs to space group Immm (No. 71); the cell edges are 3.015, 5.305 and 10.657 Å and the angles 90.00°, 90.00° and 90.00°. The distinct sites, in fractional coordinates, are U at (0.000, 0.000, 0.000), U at (0.000, 0.500, 0.261) and Pa at (0.000, 0.000, 0.500).

As for the density of states at the Fermi level: 24.867 states/eV per cell. For the spin magnetization, the calculation gives 0.00 μB per atom.

(B)
Density functional theory data (GGA-PBE) for a relaxed U3Pa crystal.

The structure belongs to space group Pmm2 (No. 25); the cell edges are 2.855, 4.983 and 5.883 Å and the angles 90.00°, 90.00° and 90.00°. The distinct sites, in fractional coordinates, are U at (0.000, 0.000, 0.000), U at (0.000, 0.500, 0.192), U at (0.500, 0.500, 0.706) and Pa at (0.500, 0.000, 0.496).

As for the density of states at the Fermi level: 10.509 states/eV per cell. For the spin magnetization, the calculation gives 0.00 μB per atom.

(C)
Density functional theory data (GGA-PBE) for a relaxed U3Pa crystal.

The structure belongs to space group I4/mmm (No. 139); the cell edges are 4.028, 4.028 and 10.517 Å and the angles 90.00°, 90.00° and 90.00°. The distinct sites, in fractional coordinates, are U at (0.000, 0.000, 0.000), U at (0.000, 0.500, 0.250) and Pa at (0.000, 0.000, 0.500).

As for the density of states at the Fermi level: 24.941 states/eV per cell. For the spin magnetization, the calculation gives 0.52 μB per atom.

(D)
Density functional theory data (GGA-PBE) for a relaxed U3Pa crystal.

The structure belongs to space group Fm-3m (No. 225); the cell edges are 6.967, 6.967 and 6.967 Å and the angles 90.00°, 90.00° and 90.00°. The distinct sites, in fractional coordinates, are U at (0.000, 0.000, 0.000), U at (0.250, 0.250, 0.250) and Pa at (0.000, 0.000, 0.500).

As for the density of states at the Fermi level: 54.091 states/eV per cell. For the spin magnetization, the calculation gives 0.00 μB per atom.

Most stable structure, least stable structure: (B), (D).

(A)
Density functional theory data (GGA-PBE) for a relaxed UPa crystal.

The structure belongs to space group P2_1/m (No. 11); the cell edges are 3.216, 3.918 and 7.216 Å and the angles 90.00°, 94.36° and 90.00°. The distinct sites, in fractional coordinates, are U at (0.173, 0.250, 0.097) and Pa at (0.271, 0.250, 0.627).

As for the density of states at the Fermi level: 9.606 states/eV per cell. For the spin magnetization, the calculation gives 0.00 μB per atom.

(B)
Density functional theory data (GGA-PBE) for a relaxed UPa crystal.

The structure belongs to space group Pmmn (No. 59, origin choice 2); the cell edges are 2.915, 2.977 and 10.241 Å and the angles 90.00°, 90.00° and 90.00°. The distinct sites, in fractional coordinates, are U at (0.250, 0.250, 0.118) and Pa at (0.250, 0.750, 0.374).

As for the density of states at the Fermi level: 9.909 states/eV per cell. For the spin magnetization, the calculation gives 0.00 μB per atom.

Most stable structure, least stable structure: (A), (B).

(A)
Density functional theory data (GGA-PBE) for a relaxed UPa crystal.

The structure belongs to space group C2/m (No. 12); the cell edges are 9.817, 3.904 and 5.814 Å and the angles 90.00°, 116.85° and 90.00°. The distinct sites, in fractional coordinates, are U at (0.093, 0.000, 0.235) and Pa at (0.226, 0.000, 0.767).

As for the density of states at the Fermi level: 17.629 states/eV per cell. For the spin magnetization, the calculation gives 0.00 μB per atom.

(B)
Density functional theory data (GGA-PBE) for a relaxed UPa crystal.

The structure belongs to space group Pm-3m (No. 221); the cell edges are 3.548, 3.548 and 3.548 Å and the angles 90.00°, 90.00° and 90.00°. The distinct sites, in fractional coordinates, are U at (0.000, 0.000, 0.000) and Pa at (0.500, 0.500, 0.500).

As for the density of states at the Fermi level: 6.633 states/eV per cell. For the spin magnetization, the calculation gives 0.46 μB per atom.

Most stable structure, least stable structure: (B), (A).

(A)
Density functional theory data (GGA-PBE) for a relaxed UPa2 crystal.

The structure belongs to space group Fd-3m (No. 227, origin choice 2); the cell edges are 8.386, 8.386 and 8.386 Å and the angles 90.00°, 90.00° and 90.00°. The distinct sites, in fractional coordinates, are U at (0.125, 0.125, 0.125) and Pa at (0.000, 0.000, 0.500).

As for the density of states at the Fermi level: 68.294 states/eV per cell. For the spin magnetization, the calculation gives 0.49 μB per atom.

(B)
Density functional theory data (GGA-PBE) for a relaxed UPa2 crystal.

The structure belongs to space group C2/m (No. 12); the cell edges are 12.025, 3.157 and 7.778 Å and the angles 90.00°, 109.12° and 90.00°. The distinct sites, in fractional coordinates, are U at (0.177, 0.000, 0.075), Pa at (0.008, 0.500, 0.237) and Pa at (0.167, 0.000, 0.592).

As for the density of states at the Fermi level: 35.736 states/eV per cell. For the spin magnetization, the calculation gives 0.21 μB per atom.

(C)
Density functional theory data (GGA-PBE) for a relaxed UPa2 crystal.

The structure belongs to space group P2_1/m (No. 11); the cell edges are 3.245, 4.519 and 9.736 Å and the angles 90.00°, 95.67° and 90.00°. The distinct sites, in fractional coordinates, are U at (0.152, 0.250, 0.053), Pa at (0.232, 0.250, 0.408) and Pa at (0.306, 0.250, 0.761).

As for the density of states at the Fermi level: 12.485 states/eV per cell. For the spin magnetization, the calculation gives 0.00 μB per atom.

Most stable structure, least stable structure: (C), (A).

(A)
Density functional theory data (GGA-PBE) for a relaxed UPa2V crystal.

The structure belongs to space group R-3m (No. 166, hexagonal axes); the cell edges are 2.9913, 2.9913 and 32.3899 Å and the angles 90.00°, 90.00° and 120.00°. The distinct sites, in fractional coordinates, are U at (0.0000, 0.0000, 0.0000), Pa at (0.0000, 0.0000, 0.0896) and V at (0.0000, 0.0000, 0.5000).

As for the density of states at the Fermi level: 26.294 states/eV per cell. For the spin magnetization, the calculation gives 0.00 μB per atom.

(B)
Density functional theory data (GGA-PBE) for a relaxed UPa2V crystal.

The structure belongs to space group P4/mmm (No. 123); the cell edges are 5.184, 5.184 and 3.133 Å and the angles 90.00°, 90.00° and 90.00°. The distinct sites, in fractional coordinates, are U at (0.000, 0.000, 0.000), Pa at (0.000, 0.500, 0.500) and V at (0.500, 0.500, 0.000).

As for the density of states at the Fermi level: 10.051 states/eV per cell. For the spin magnetization, the calculation gives 0.60 μB per atom.

Most stable structure, least stable structure: (B), (A).

(A)
Density functional theory data (GGA-PBE) for a relaxed UPaV crystal.

The structure belongs to space group I4mm (No. 107); the cell edges are 2.741, 2.741 and 15.499 Å and the angles 90.00°, 90.00° and 90.00°. The distinct sites, in fractional coordinates, are U at (0.000, 0.000, 0.000), Pa at (0.000, 0.000, 0.177) and V at (0.000, 0.000, 0.836).

As for the density of states at the Fermi level: 12.373 states/eV per cell. For the spin magnetization, the calculation gives 0.00 μB per atom.

(B)
Density functional theory data (GGA-PBE) for a relaxed UPaV crystal.

The structure belongs to space group P3m1 (No. 156); the cell edges are 4.6757, 4.6757 and 3.0957 Å and the angles 90.00°, 90.00° and 120.00°. The distinct sites, in fractional coordinates, are U at (0.0000, 0.0000, 0.0000), Pa at (0.6667, 0.3333, 0.3096) and V at (0.3333, 0.6667, 0.6953).

As for the density of states at the Fermi level: 6.923 states/eV per cell. For the spin magnetization, the calculation gives 0.00 μB per atom.

Most stable structure, least stable structure: (B), (A).

(A)
Density functional theory data (GGA-PBE) for a relaxed UPa2W crystal.

The structure belongs to space group P4/mmm (No. 123); the cell edges are 3.487, 3.487 and 7.099 Å and the angles 90.00°, 90.00° and 90.00°. The distinct sites, in fractional coordinates, are U at (0.000, 0.000, 0.000), Pa at (0.500, 0.500, 0.255) and W at (0.000, 0.000, 0.500).

As for the density of states at the Fermi level: 9.366 states/eV per cell. For the spin magnetization, the calculation gives 0.20 μB per atom.

(B)
Density functional theory data (GGA-PBE) for a relaxed UPa2W crystal.

The structure belongs to space group R-3m (No. 166, hexagonal axes); the cell edges are 2.9731, 2.9731 and 33.2043 Å and the angles 90.00°, 90.00° and 120.00°. The distinct sites, in fractional coordinates, are U at (0.0000, 0.0000, 0.0000), Pa at (0.0000, 0.0000, 0.0871) and W at (0.0000, 0.0000, 0.5000).

As for the density of states at the Fermi level: 27.407 states/eV per cell. For the spin magnetization, the calculation gives 0.00 μB per atom.

Most stable structure, least stable structure: (A), (B).

(A)
Density functional theory data (GGA-PBE) for a relaxed UPaZn crystal.

The structure belongs to space group Pmma (No. 51); the cell edges are 5.942, 5.079 and 5.122 Å and the angles 90.00°, 90.00° and 90.00°. The distinct sites, in fractional coordinates, are U at (0.250, 0.000, 0.004), Pa at (0.000, 0.000, 0.500) and Zn at (0.250, 0.500, 0.657).

As for the density of states at the Fermi level: 13.254 states/eV per cell. For the spin magnetization, the calculation gives 0.85 μB per atom.

(B)
Density functional theory data (GGA-PBE) for a relaxed UPaZn crystal.

The structure belongs to space group I4mm (No. 107); the cell edges are 3.627, 3.627 and 9.655 Å and the angles 90.00°, 90.00° and 90.00°. The distinct sites, in fractional coordinates, are U at (0.000, 0.000, 0.000), Pa at (0.000, 0.000, 0.369) and Zn at (0.000, 0.000, 0.685).

As for the density of states at the Fermi level: 14.219 states/eV per cell. For the spin magnetization, the calculation gives 0.74 μB per atom.

Most stable structure, least stable structure: (B), (A).

(A)
Density functional theory data (GGA-PBE) for a relaxed PaV3 crystal.

The structure belongs to space group Fm-3m (No. 225); the cell edges are 6.329, 6.329 and 6.329 Å and the angles 90.00°, 90.00° and 90.00°. The distinct sites, in fractional coordinates, are Pa at (0.000, 0.000, 0.000), V at (0.000, 0.000, 0.500) and V at (0.250, 0.250, 0.250).

As for the density of states at the Fermi level: 21.900 states/eV per cell. For the spin magnetization, the calculation gives 0.06 μB per atom.

(B)
Density functional theory data (GGA-PBE) for a relaxed PaV3 crystal.

The structure belongs to space group Pmm2 (No. 25); the cell edges are 2.747, 4.321 and 5.492 Å and the angles 90.00°, 90.00° and 90.00°. The distinct sites, in fractional coordinates, are Pa at (0.000, 0.000, 0.000), V at (0.000, 0.500, 0.262), V at (0.500, 0.000, 0.480) and V at (0.500, 0.500, 0.741).

As for the density of states at the Fermi level: 5.706 states/eV per cell. For the spin magnetization, the calculation gives 0.00 μB per atom.

Most stable structure, least stable structure: (A), (B).

(A)
Density functional theory data (GGA-PBE) for a relaxed PaV crystal.

The structure belongs to space group Cmmm (No. 65); the cell edges are 3.301, 5.089 and 4.460 Å and the angles 90.00°, 90.00° and 90.00°. The distinct sites, in fractional coordinates, are Pa at (0.000, 0.000, 0.000) and V at (0.000, 0.500, 0.500).

As for the density of states at the Fermi level: 7.641 states/eV per cell. For the spin magnetization, the calculation gives 0.00 μB per atom.

(B)
Density functional theory data (GGA-PBE) for a relaxed PaV crystal.

The structure belongs to space group Pm-3m (No. 221); the cell edges are 3.433, 3.433 and 3.433 Å and the angles 90.00°, 90.00° and 90.00°. The distinct sites, in fractional coordinates, are Pa at (0.000, 0.000, 0.000) and V at (0.500, 0.500, 0.500).

As for the density of states at the Fermi level: 4.228 states/eV per cell. For the spin magnetization, the calculation gives 0.74 μB per atom.

(C)
Density functional theory data (GGA-PBE) for a relaxed PaV crystal.

The structure belongs to space group P2_1/m (No. 11); the cell edges are 2.934, 4.870 and 5.299 Å and the angles 90.00°, 100.05° and 90.00°. The distinct sites, in fractional coordinates, are Pa at (0.007, 0.250, 0.142) and V at (0.379, 0.250, 0.609).

As for the density of states at the Fermi level: 4.912 states/eV per cell. For the spin magnetization, the calculation gives 0.00 μB per atom.

Most stable structure, least stable structure: (C), (B).

(A)
Density functional theory data (GGA-PBE) for a relaxed PaVW2 crystal.

The structure belongs to space group R-3m (No. 166, hexagonal axes); the cell edges are 2.9768, 2.9768 and 27.9374 Å and the angles 90.00°, 90.00° and 120.00°. The distinct sites, in fractional coordinates, are Pa at (0.0000, 0.0000, 0.0000), V at (0.0000, 0.0000, 0.5000) and W at (0.0000, 0.0000, 0.2373).

As for the density of states at the Fermi level: 18.454 states/eV per cell. For the spin magnetization, the calculation gives 0.00 μB per atom.

(B)
Density functional theory data (GGA-PBE) for a relaxed PaVW2 crystal.

The structure belongs to space group P4/mmm (No. 123); the cell edges are 3.295, 3.295 and 6.522 Å and the angles 90.00°, 90.00° and 90.00°. The distinct sites, in fractional coordinates, are Pa at (0.000, 0.000, 0.000), V at (0.000, 0.000, 0.500) and W at (0.500, 0.500, 0.273).

As for the density of states at the Fermi level: 3.775 states/eV per cell. For the spin magnetization, the calculation gives 0.00 μB per atom.

Most stable structure, least stable structure: (B), (A).

(A)
Density functional theory data (GGA-PBE) for a relaxed Pa2VW crystal.

The structure belongs to space group P4/mmm (No. 123); the cell edges are 4.942, 4.942 and 3.430 Å and the angles 90.00°, 90.00° and 90.00°. The distinct sites, in fractional coordinates, are Pa at (0.000, 0.500, 0.000), V at (0.000, 0.000, 0.500) and W at (0.500, 0.500, 0.500).

As for the density of states at the Fermi level: 5.805 states/eV per cell. For the spin magnetization, the calculation gives 0.47 μB per atom.

(B)
Density functional theory data (GGA-PBE) for a relaxed Pa2VW crystal.

The structure belongs to space group R-3m (No. 166, hexagonal axes); the cell edges are 2.9588, 2.9588 and 32.0293 Å and the angles 90.00°, 90.00° and 120.00°. The distinct sites, in fractional coordinates, are Pa at (0.0000, 0.0000, 0.0886), V at (0.0000, 0.0000, 0.5000) and W at (0.0000, 0.0000, 0.0000).

As for the density of states at the Fermi level: 21.490 states/eV per cell. For the spin magnetization, the calculation gives 0.00 μB per atom.

Most stable structure, least stable structure: (A), (B).